1.
Ga2CuAuSe4 PBE-GGA relaxed; energy = -3.81 eV per atom; symmetry = No. 121; D(E_F) = 0.63 states/eV/f.u.; ΔE_f (raw) = -0.39 eV/atom
1.0
-2.866 2.866 5.867
2.866 -2.866 5.867
2.866 2.866 -5.867
Ga Cu Au Se
2 1 1 4
direct
0.250 0.750 0.500 Ga
0.750 0.250 0.500 Ga
0.000 0.000 0.000 Cu
0.500 0.500 0.000 Au
0.109 0.109 0.472 Se
0.362 0.891 0.000 Se
0.638 0.638 0.528 Se
0.891 0.362 0.000 Se

***

2.
SmGaCuAu PBE-GGA relaxed; energy = -4.23 eV per atom; symmetry = No. 216; E_form = -445 meV/atom; D(E_F) = 2.48 states/eV/f.u.
1.0
0.000 3.386 3.386
3.386 0.000 3.386
3.386 3.386 0.000
Sm Ga Cu Au
1 1 1 1
direct
0.000 0.000 0.000 Sm
0.500 0.500 0.500 Ga
0.750 0.750 0.750 Cu
0.250 0.250 0.250 Au

***

3.
Sm3Ga2CuAu6 PBE-GGA relaxed; energy = -4.12 eV per atom; symmetry = No. 164; E_form = -459 meV/atom; D(E_F) = 7.09 states/eV/f.u.
1.0
6.081 0.000 0.000
-3.040 5.266 0.000
0.000 0.000 8.353
Sm Ga Cu Au
3 2 1 6
direct
0.000 0.000 0.000 Sm
0.333 0.667 0.629 Sm
0.667 0.333 0.371 Sm
0.333 0.667 0.012 Ga
0.667 0.333 0.988 Ga
0.000 0.000 0.500 Cu
0.176 0.352 0.282 Au
0.176 0.824 0.282 Au
0.352 0.176 0.718 Au
0.648 0.824 0.282 Au
0.824 0.176 0.718 Au
0.824 0.648 0.718 Au

***

4.
SmGa2CuAu5 PBE-GGA relaxed; energy = -3.67 eV per atom; symmetry = No. 123; E_form = -193 meV/atom; D(E_F) = 2.24 states/eV/f.u.
1.0
4.896 0.000 0.000
0.000 4.896 0.000
0.000 0.000 7.622
Sm Ga Cu Au
1 2 1 5
direct
0.000 0.000 0.000 Sm
0.500 0.500 0.343 Ga
0.500 0.500 0.657 Ga
0.000 0.000 0.500 Cu
0.000 0.500 0.253 Au
0.000 0.500 0.747 Au
0.500 0.000 0.253 Au
0.500 0.000 0.747 Au
0.500 0.500 0.000 Au

***

5.
Sm2Ga4CuAu3 PBE-GGA relaxed; energy = -4.13 eV per atom; symmetry = No. 115; E_form = -584 meV/atom; D(E_F) = 5.05 states/eV/f.u.
1.0
4.335 0.000 0.000
0.000 4.335 0.000
0.000 0.000 10.637
Sm Ga Cu Au
2 4 1 3
direct
0.000 0.500 0.243 Sm
0.500 0.000 0.757 Sm
0.000 0.000 0.500 Ga
0.000 0.500 0.873 Ga
0.500 0.000 0.127 Ga
0.500 0.500 0.500 Ga
0.500 0.500 0.000 Cu
0.000 0.000 0.000 Au
0.000 0.500 0.638 Au
0.500 0.000 0.362 Au

***

6.
SmGaCu2Au4 PBE-GGA relaxed; energy = -3.91 eV per atom; symmetry = No. 166; E_form = -281 meV/atom; D(E_F) = 1.68 states/eV/f.u.
1.0
2.361 1.363 7.530
-2.361 1.363 7.530
0.000 -2.726 7.530
Sm Ga Cu Au
1 1 2 4
direct
0.000 0.000 0.000 Sm
0.500 0.500 0.500 Ga
0.259 0.259 0.259 Cu
0.741 0.741 0.741 Cu
0.136 0.136 0.136 Au
0.388 0.388 0.388 Au
0.612 0.612 0.612 Au
0.864 0.864 0.864 Au

***

7.
Sm2GaCuAu6 PBE-GGA relaxed; energy = -4.04 eV per atom; symmetry = No. 2; E_form = -420 meV/atom; D(E_F) = 4.61 states/eV/f.u.
1.0
5.462 0.000 0.000
2.655 6.105 0.000
2.700 -0.077 6.508
Sm Ga Cu Au
2 1 1 6
direct
0.013 0.251 0.218 Sm
0.987 0.749 0.782 Sm
0.500 0.000 0.500 Ga
0.500 0.500 0.000 Cu
0.001 0.215 0.786 Au
0.345 0.412 0.399 Au
0.497 0.792 0.211 Au
0.503 0.208 0.789 Au
0.655 0.588 0.601 Au
0.999 0.785 0.214 Au

***

8.
SmGa4Cu2Au PBE-GGA relaxed; energy = -3.83 eV per atom; symmetry = No. 166; E_form = -291 meV/atom; D(E_F) = 3.30 states/eV/f.u.
1.0
2.123 1.226 9.156
-2.123 1.226 9.156
0.000 -2.452 9.156
Sm Ga Cu Au
1 4 2 1
direct
0.000 0.000 0.000 Sm
0.120 0.120 0.120 Ga
0.399 0.399 0.399 Ga
0.601 0.601 0.601 Ga
0.880 0.880 0.880 Ga
0.252 0.252 0.252 Cu
0.748 0.748 0.748 Cu
0.500 0.500 0.500 Au

***

9.
Ga2Cu7Sn2Au PBE-GGA relaxed; energy = -3.76 eV per atom; symmetry = No. 12; E_form = 75 meV/atom; D(E_F) = 4.09 states/eV/f.u.
1.0
2.639 -2.622 0.000
2.639 2.622 0.000
-2.163 0.000 14.072
Ga Cu Sn Au
2 7 2 1
direct
0.102 0.102 0.264 Ga
0.898 0.898 0.736 Ga
0.000 0.000 0.000 Cu
0.055 0.553 0.140 Cu
0.172 0.172 0.445 Cu
0.447 0.945 0.860 Cu
0.553 0.055 0.140 Cu
0.828 0.828 0.555 Cu
0.945 0.447 0.860 Cu
0.359 0.359 0.630 Sn
0.641 0.641 0.370 Sn
0.500 0.500 0.000 Au

***

10.
GaCu7Sn2Au2 PBE-GGA relaxed; energy = -3.84 eV per atom; symmetry = No. 12; E_form = 12 meV/atom; D(E_F) = 5.03 states/eV/f.u.
1.0
2.589 -2.591 0.000
2.589 2.591 0.000
-2.416 0.000 14.255
Ga Cu Sn Au
1 7 2 2
direct
0.000 0.000 0.000 Ga
0.062 0.560 0.129 Cu
0.276 0.276 0.541 Cu
0.440 0.938 0.871 Cu
0.500 0.500 0.000 Cu
0.560 0.062 0.129 Cu
0.724 0.724 0.459 Cu
0.938 0.440 0.871 Cu
0.171 0.171 0.358 Sn
0.829 0.829 0.642 Sn
0.372 0.372 0.733 Au
0.628 0.628 0.267 Au